Entry 1:
{
  "formula": "CaAlIr2",
  "functional": "GGA-PBE",
  "state": "optimized geometry",
  "crystal_system": "tetragonal",
  "ef_ev_per_atom": -0.17,
  "dft_energy_ry_per_atom": -0.4433,
  "cell": [[-2.282, 1.078, 1.421], [-1.543, -2.350, -0.695], [2.565, -3.745, 6.962]],
  "species": ["Ca", "Ir", "Ir", "Al"],
  "frac_coords": [[0.500, 0.500, 0.763], [0.000, 0.000, 0.034], [0.500, 0.500, 0.251], [0.000, 0.000, 0.452]]
}


Entry 2:
{
  "formula": "LaTlAu2Cl",
  "functional": "GGA-PBE",
  "state": "optimized geometry",
  "e_form_raw_ev_per_fu": 0.51,
  "crystal_system": "tetragonal",
  "dft_energy_ry_per_atom": -0.2232,
  "cell": [[-2.432, 4.492, 2.346], [-6.217, -2.411, -1.828], [-0.369, -2.753, 4.887]],
  "species": ["Tl", "Cl", "Au", "Au", "La"],
  "frac_coords": [[0.000, 0.500, 0.000], [0.500, 0.500, 0.500], [0.000, 0.000, 0.500], [0.500, 0.000, 0.000], [0.000, 0.000, 0.000]]
}


Entry 3:
{
  "formula": "Dy2Ti2Co15",
  "functional": "GGA-PBE",
  "state": "optimized geometry",
  "crystal_system": "trigonal",
  "ef_ev_per_atom": -0.17,
  "dft_energy_ry_per_atom": -0.5218,
  "cell": [[-5.448, -3.192, -0.414], [-0.194, -2.071, 5.977], [-3.777, 4.520, 2.312]],
  "species": ["Dy", "Dy", "Ti", "Ti", "Co", "Co", "Co", "Co", "Co", "Co", "Co", "Co", "Co", "Co", "Co", "Co", "Co", "Co", "Co"],
  "frac_coords": [[0.354, 0.354, 0.354], [0.646, 0.646, 0.646], [0.106, 0.106, 0.106], [0.894, 0.894, 0.894], [0.000, 0.500, 0.000], [0.000, 0.000, 0.500], [0.500, 0.000, 0.000], [0.708, 0.000, 0.292], [0.292, 0.708, 0.000], [0.000, 0.292, 0.708], [0.708, 0.292, 0.000], [0.000, 0.708, 0.292], [0.292, 0.000, 0.708], [0.652, 0.152, 0.652], [0.652, 0.652, 0.152], [0.152, 0.652, 0.652], [0.348, 0.848, 0.348], [0.348, 0.348, 0.848], [0.848, 0.348, 0.348]]
}


Entry 4:
{
  "formula": "MnV3Rh",
  "functional": "GGA-PBE",
  "state": "optimized geometry",
  "crystal_system": "cubic",
  "ef_ev_per_atom": 0.69,
  "relative_energy_mev_per_atom": 0,
  "dft_energy_ry_per_atom": -0.5943,
  "cell": [[4.235, 0.000, 0.000], [0.000, 4.235, 0.000], [0.000, 0.000, 4.235]],
  "species": ["Mn", "Rh", "V", "V", "V"],
  "frac_coords": [[0.000, 0.000, 0.000], [0.500, 0.500, 0.500], [0.000, 0.500, 0.000], [0.000, 0.000, 0.500], [0.500, 0.000, 0.000]]
}